(1)
Na3In12Bi | PBE-GGA | optimized geometry

a = 4.847 Å, b = 4.847 Å, c = 18.408 Å
α = 90.00°, β = 90.00°, γ = 90.00°
Fractional coordinates of all 16 atoms:
Na 0.000 0.000 0.254
Na 0.000 0.000 0.500
Na 0.000 0.000 0.746
In 0.500 0.500 0.000
In 0.500 0.500 0.254
In 0.500 0.500 0.500
In 0.500 0.500 0.746
In 0.500 0.000 0.130
In 0.500 0.000 0.377
In 0.500 0.000 0.623
In 0.500 0.000 0.870
In 0.000 0.500 0.130
In 0.000 0.500 0.377
In 0.000 0.500 0.623
In 0.000 0.500 0.870
Bi 0.000 0.000 0.000

E_form = -0.055 eV/atom
Total magnetic moment = 0.00 μB/f.u.

***

(2)
Na6In12Bi | PBE-GGA | optimized geometry

a = 8.455 Å, b = 8.455 Å, c = 8.455 Å
α = 104.11°, β = 104.11°, γ = 104.11°
Fractional coordinates of all 19 atoms:
Na 0.163 0.164 0.424
Na 0.836 0.576 0.837
Na 0.576 0.837 0.836
Na 0.837 0.836 0.576
Na 0.164 0.424 0.163
Na 0.424 0.163 0.164
In 0.587 0.192 0.589
In 0.192 0.589 0.587
In 0.589 0.587 0.192
In 0.413 0.808 0.411
In 0.808 0.411 0.413
In 0.411 0.413 0.808
In 0.262 0.001 0.738
In 0.262 0.738 0.999
In 0.999 0.262 0.738
In 0.738 0.999 0.262
In 0.738 0.262 0.001
In 0.001 0.738 0.262
Bi 0.000 0.000 0.000

E_form = -0.063 eV/atom
Total magnetic moment = 0.00 μB/f.u.

***

(3)
Na4InBi5 | PBE-GGA | optimized geometry

a = 3.426 Å, b = 3.426 Å, c = 25.075 Å
α = 90.00°, β = 90.00°, γ = 90.00°
Fractional coordinates of all 10 atoms:
Na 0.000 0.000 0.206
Na 0.000 0.000 0.402
Na 0.000 0.000 0.598
Na 0.000 0.000 0.794
In 0.000 0.000 0.000
Bi 0.500 0.500 0.105
Bi 0.500 0.500 0.304
Bi 0.500 0.500 0.500
Bi 0.500 0.500 0.696
Bi 0.500 0.500 0.895

E_form = -0.227 eV/atom
Total magnetic moment = 0.00 μB/f.u.

***

(4)
NaIn6Bi | PBE-GGA | optimized geometry

a = 5.021 Å, b = 6.665 Å, c = 6.665 Å
α = 89.79°, β = 90.00°, γ = 90.00°
Fractional coordinates of all 8 atoms:
Na 0.500 0.000 0.000
In 0.000 0.750 0.250
In 0.000 0.250 0.750
In 0.000 0.750 0.750
In 0.000 0.250 0.250
In 0.500 0.500 0.000
In 0.500 0.000 0.500
Bi 0.500 0.500 0.500

E_form = -0.025 eV/atom
Total magnetic moment = 0.00 μB/f.u.

***

(5)
Na4In5Bi6 | PBE-GGA | optimized geometry

a = 5.070 Å, b = 11.600 Å, c = 17.048 Å
α = 90.00°, β = 90.00°, γ = 102.62°
Fractional coordinates of all 30 atoms:
Na 0.955 0.909 0.288
Na 0.045 0.091 0.788
Na 0.136 0.273 0.285
Na 0.864 0.727 0.785
Na 0.821 0.643 0.442
Na 0.179 0.357 0.942
Na 0.040 0.080 0.491
Na 0.960 0.920 0.991
In 0.459 0.917 0.676
In 0.541 0.083 0.176
In 0.170 0.340 0.632
In 0.830 0.660 0.132
In 0.653 0.305 0.472
In 0.347 0.695 0.972
In 0.323 0.646 0.610
In 0.677 0.354 0.110
In 0.328 0.655 0.296
In 0.672 0.345 0.796
Bi 0.746 0.492 0.272
Bi 0.419 0.837 0.435
Bi 0.769 0.539 0.969
Bi 0.231 0.461 0.469
Bi 0.456 0.911 0.857
Bi 0.544 0.089 0.357
Bi 0.408 0.816 0.143
Bi 0.592 0.184 0.643
Bi 0.086 0.172 0.087
Bi 0.914 0.828 0.587
Bi 0.581 0.163 0.935
Bi 0.254 0.508 0.772

E_form = -0.137 eV/atom
Total magnetic moment = 0.00 μB/f.u.

***

(6)
NaIn6Bi2 | PBE-GGA | optimized geometry

a = 5.058 Å, b = 5.058 Å, c = 11.263 Å
α = 90.00°, β = 90.00°, γ = 90.00°
Fractional coordinates of all 9 atoms:
Na 0.000 0.000 0.000
In 0.000 0.500 0.314
In 0.500 0.000 0.314
In 0.000 0.500 0.686
In 0.500 0.000 0.686
In 0.500 0.500 0.500
In 0.000 0.000 0.500
Bi 0.500 0.500 0.140
Bi 0.500 0.500 0.860

E_form = 0.006 eV/atom
Total magnetic moment = 0.00 μB/f.u.
Energy above the most stable polymorph in this dataset = 38 meV per atom

***

(7)
Na5InBi4 | PBE-GGA | optimized geometry

a = 3.886 Å, b = 9.970 Å, c = 9.320 Å
α = 92.29°, β = 102.03°, γ = 90.00°
Fractional coordinates of all 10 atoms:
Na 0.798 0.650 0.596
Na 0.865 0.188 0.730
Na 0.135 0.812 0.270
Na 0.500 0.500 0.000
Na 0.202 0.350 0.404
In 0.500 0.000 0.000
Bi 0.306 0.928 0.613
Bi 0.964 0.757 0.928
Bi 0.694 0.072 0.387
Bi 0.036 0.243 0.072

E_form = -0.111 eV/atom
Total magnetic moment = 0.00 μB/f.u.
Energy above the most stable polymorph in this dataset = 144 meV per atom

***

(8)
NaIn3Bi4 | PBE-GGA | optimized geometry

a = 5.842 Å, b = 6.518 Å, c = 7.340 Å
α = 102.69°, β = 113.45°, γ = 90.00°
Fractional coordinates of all 8 atoms:
Na 0.500 0.000 0.000
Bi 0.743 0.214 0.487
Bi 0.257 0.786 0.513
Bi 0.361 0.401 0.722
Bi 0.639 0.599 0.278
In 0.000 0.500 0.000
In 0.881 0.846 0.762
In 0.119 0.154 0.238

E_form = 0.007 eV/atom
Total magnetic moment = 0.00 μB/f.u.

***

(9)
Na2In6Bi | PBE-GGA | optimized geometry

a = 3.431 Å, b = 9.665 Å, c = 9.665 Å
α = 56.81°, β = 71.79°, γ = 71.79°
Fractional coordinates of all 9 atoms:
Na 0.330 0.335 0.335
Na 0.670 0.665 0.665
In 0.204 0.000 0.333
In 0.796 0.000 0.667
In 0.796 0.667 0.000
In 0.500 0.331 0.669
In 0.500 0.669 0.331
In 0.204 0.333 0.000
Bi 0.000 0.000 0.000

E_form = -0.057 eV/atom
Total magnetic moment = 0.00 μB/f.u.
Energy above the most stable polymorph in this dataset = 26 meV per atom

***

(10)
Na3InBi | PBE-GGA | optimized geometry

a = 8.728 Å, b = 8.649 Å, c = 6.211 Å
α = 83.67°, β = 101.47°, γ = 136.93°
Fractional coordinates of all 10 atoms:
Na 0.816 0.236 0.547
Na 0.247 0.827 0.453
Na 0.401 0.587 0.815
Na 0.083 0.194 0.249
Na 0.662 0.476 0.185
Na 0.981 0.870 0.751
In 0.531 0.031 0.000
In 0.031 0.531 0.000
Bi 0.568 0.748 0.344
Bi 0.496 0.316 0.656

E_form = -0.194 eV/atom
Total magnetic moment = 0.00 μB/f.u.
Energy above the most stable polymorph in this dataset = 69 meV per atom

***

(11)
Na3InBi | PBE-GGA | optimized geometry

a = 5.194 Å, b = 8.035 Å, c = 7.544 Å
α = 103.58°, β = 90.00°, γ = 90.00°
Fractional coordinates of all 10 atoms:
Na 0.624 0.848 0.672
Na 0.624 0.039 0.184
Na 0.124 0.508 0.660
Na 0.124 0.251 0.975
Na 0.124 0.060 0.463
Na 0.624 0.591 0.987
In 0.624 0.455 0.343
In 0.124 0.644 0.304
Bi 0.624 0.258 0.649
Bi 0.124 0.841 0.998

E_form = -0.263 eV/atom
Total magnetic moment = 0.00 μB/f.u.
Energy above the most stable polymorph in this dataset = 0 meV per atom

***

(12)
Na5InBi6 | PBE-GGA | optimized geometry

a = 4.831 Å, b = 7.677 Å, c = 10.043 Å
α = 90.00°, β = 90.00°, γ = 71.66°
Fractional coordinates of all 12 atoms:
Na 0.667 0.667 0.500
Na 0.336 0.328 0.000
Na 0.000 0.000 0.500
Na 0.664 0.672 0.000
Na 0.333 0.333 0.500
Bi 0.833 0.335 0.252
Bi 0.832 0.335 0.748
Bi 0.500 0.000 0.750
Bi 0.500 0.000 0.250
Bi 0.168 0.665 0.252
Bi 0.167 0.665 0.748
In 0.000 0.000 0.000

E_form = -0.241 eV/atom
Total magnetic moment = 0.00 μB/f.u.

***

What is the total magnetic moment in the sixth record?
0.00 μB/f.u.

***

Number 10 is which compound?
Na3InBi

***

total magnetic moment of number 11 (Na3InBi)?
0.00 μB/f.u.